## one
Entry from Alexandria via LeMat-Bulk: a relaxed SrLaOs2 crystal (PBE-GGA).

Structure (CIF):
```
data_SrLaOs2
_cell_length_a 4.675
_cell_length_b 5.111
_cell_length_c 8.966
_cell_angle_alpha 90.00
_cell_angle_beta 90.00
_cell_angle_gamma 90.00
_symmetry_space_group_name_H-M 'P 1'
_symmetry_Int_Tables_number 1
_symmetry_space_group_name_Hall 'P 1'
loop_
_atom_site_label
_atom_site_fract_x
_atom_site_fract_y
_atom_site_fract_z
Sr1 0.000 0.000 0.000
Sr2 0.500 0.500 0.000
La1 0.000 0.500 0.595
La2 0.500 0.000 0.595
Os1 0.000 0.000 0.359
Os2 0.000 0.500 0.265
Os3 0.500 0.000 0.265
Os4 0.500 0.500 0.359
```

***

## two
Entry from Alexandria via LeMat-Bulk: a relaxed SrLaOs2 crystal (PBE-GGA).

Structure (CIF):
```
data_SrLaOs2
_cell_length_a 3.568
_cell_length_b 3.568
_cell_length_c 7.263
_cell_angle_alpha 90.00
_cell_angle_beta 90.00
_cell_angle_gamma 90.00
_symmetry_space_group_name_H-M 'P 1'
_symmetry_Int_Tables_number 1
_symmetry_space_group_name_Hall 'P 1'
loop_
_atom_site_label
_atom_site_fract_x
_atom_site_fract_y
_atom_site_fract_z
Sr1 0.000 0.000 0.000
La1 0.000 0.000 0.500
Os1 0.500 0.500 0.286
Os2 0.500 0.500 0.714
```

***

## three
Entry from Alexandria via LeMat-Bulk: a relaxed SrLaOs2 crystal (PBE-GGA).

Structure (CIF):
```
data_SrLaOs2
_cell_length_a 4.945
_cell_length_b 4.945
_cell_length_c 19.418
_cell_angle_alpha 90.00
_cell_angle_beta 90.00
_cell_angle_gamma 90.00
_symmetry_space_group_name_H-M 'P 1'
_symmetry_Int_Tables_number 1
_symmetry_space_group_name_Hall 'P 1'
loop_
_atom_site_label
_atom_site_fract_x
_atom_site_fract_y
_atom_site_fract_z
Sr1 0.000 0.000 0.000
Sr2 0.000 0.500 0.250
Sr3 0.500 0.000 0.750
Sr4 0.500 0.500 0.500
La1 0.000 0.000 0.500
La2 0.000 0.500 0.750
La3 0.500 0.000 0.250
La4 0.500 0.500 0.000
Os1 0.051 0.250 0.625
Os2 0.250 0.551 0.875
Os3 0.250 0.949 0.375
Os4 0.449 0.250 0.125
Os5 0.551 0.750 0.125
Os6 0.750 0.051 0.375
Os7 0.750 0.449 0.875
Os8 0.949 0.750 0.625
```

***

Preferred: one; penalty for the next structure: 291 meV/atom.

***

## one
Entry from Alexandria via LeMat-Bulk: a relaxed SrLaOs2 crystal (PBE-GGA).

Structure (CIF):
```
data_SrLaOs2
_cell_length_a 4.221
_cell_length_b 4.801
_cell_length_c 11.075
_cell_angle_alpha 90.00
_cell_angle_beta 90.00
_cell_angle_gamma 90.00
_symmetry_space_group_name_H-M 'P 1'
_symmetry_Int_Tables_number 1
_symmetry_space_group_name_Hall 'P 1'
loop_
_atom_site_label
_atom_site_fract_x
_atom_site_fract_y
_atom_site_fract_z
Sr1 0.000 0.000 0.000
Sr2 0.500 0.500 0.500
La1 0.000 0.500 0.772
La2 0.500 0.000 0.272
Os1 0.000 0.000 0.610
Os2 0.000 0.500 0.207
Os3 0.500 0.000 0.707
Os4 0.500 0.500 0.110
```

***

## two
Entry from Alexandria via LeMat-Bulk: a relaxed SrLaOs2 crystal (PBE-GGA).

Structure (CIF):
```
data_SrLaOs2
_cell_length_a 9.114
_cell_length_b 3.268
_cell_length_c 6.642
_cell_angle_alpha 90.00
_cell_angle_beta 97.39
_cell_angle_gamma 90.00
_symmetry_space_group_name_H-M 'P 1'
_symmetry_Int_Tables_number 1
_symmetry_space_group_name_Hall 'P 1'
loop_
_atom_site_label
_atom_site_fract_x
_atom_site_fract_y
_atom_site_fract_z
Sr1 0.000 0.000 0.000
Sr2 0.500 0.500 0.000
La1 0.000 0.500 0.500
La2 0.500 0.000 0.500
Os1 0.248 0.500 0.330
Os2 0.252 0.000 0.670
Os3 0.748 0.000 0.330
Os4 0.752 0.500 0.670
```

***

Preferred: one; penalty for the next structure: 393 meV/atom.

***

## one
Entry from Alexandria via LeMat-Bulk: a relaxed SrLaOs3 crystal (PBE-GGA).

Structure (CIF):
```
data_SrLaOs3
_cell_length_a 4.911
_cell_length_b 4.911
_cell_length_c 4.911
_cell_angle_alpha 90.00
_cell_angle_beta 90.00
_cell_angle_gamma 90.00
_symmetry_space_group_name_H-M 'P 1'
_symmetry_Int_Tables_number 1
_symmetry_space_group_name_Hall 'P 1'
loop_
_atom_site_label
_atom_site_fract_x
_atom_site_fract_y
_atom_site_fract_z
Sr1 0.000 0.000 0.000
La1 0.500 0.500 0.500
Os1 0.000 0.000 0.500
Os2 0.000 0.500 0.000
Os3 0.500 0.000 0.000
```

***

## two
Entry from Alexandria via LeMat-Bulk: a relaxed SrLaOs3 crystal (PBE-GGA).

Structure (CIF):
```
data_SrLaOs3
_cell_length_a 4.983
_cell_length_b 4.983
_cell_length_c 4.983
_cell_angle_alpha 90.00
_cell_angle_beta 90.00
_cell_angle_gamma 90.00
_symmetry_space_group_name_H-M 'P 1'
_symmetry_Int_Tables_number 1
_symmetry_space_group_name_Hall 'P 1'
loop_
_atom_site_label
_atom_site_fract_x
_atom_site_fract_y
_atom_site_fract_z
Sr1 0.000 0.000 0.000
La1 0.500 0.500 0.500
Os1 0.000 0.500 0.500
Os2 0.500 0.000 0.500
Os3 0.500 0.500 0.000
```

***

Preferred: two; penalty for the next structure: 459 meV/atom.

***

## one
Entry from Alexandria via LeMat-Bulk: a relaxed Sr3LaOs crystal (PBE-GGA).

Structure (CIF):
```
data_Sr3LaOs
_cell_length_a 5.940
_cell_length_b 5.940
_cell_length_c 5.940
_cell_angle_alpha 90.00
_cell_angle_beta 90.00
_cell_angle_gamma 90.00
_symmetry_space_group_name_H-M 'P 1'
_symmetry_Int_Tables_number 1
_symmetry_space_group_name_Hall 'P 1'
loop_
_atom_site_label
_atom_site_fract_x
_atom_site_fract_y
_atom_site_fract_z
Sr1 0.000 0.000 0.500
Sr2 0.000 0.500 0.000
Sr3 0.500 0.000 0.000
La1 0.000 0.000 0.000
Os1 0.500 0.500 0.500
```

***

## two
Entry from Alexandria via LeMat-Bulk: a relaxed Sr3LaOs crystal (PBE-GGA).

Structure (CIF):
```
data_Sr3LaOs
_cell_length_a 5.821
_cell_length_b 5.821
_cell_length_c 5.821
_cell_angle_alpha 90.00
_cell_angle_beta 90.00
_cell_angle_gamma 90.00
_symmetry_space_group_name_H-M 'P 1'
_symmetry_Int_Tables_number 1
_symmetry_space_group_name_Hall 'P 1'
loop_
_atom_site_label
_atom_site_fract_x
_atom_site_fract_y
_atom_site_fract_z
Sr1 0.000 0.000 0.500
Sr2 0.000 0.500 0.000
Sr3 0.500 0.000 0.000
La1 0.500 0.500 0.500
Os1 0.000 0.000 0.000
```

***

Preferred: two; penalty for the next structure: 1321 meV/atom.

***

## one
Entry from Alexandria via LeMat-Bulk: a relaxed SrLaOs crystal (PBE-GGA).

Structure (CIF):
```
data_SrLaOs
_cell_length_a 4.392
_cell_length_b 4.392
_cell_length_c 6.310
_cell_angle_alpha 90.00
_cell_angle_beta 90.00
_cell_angle_gamma 120.00
_symmetry_space_group_name_H-M 'P 1'
_symmetry_Int_Tables_number 1
_symmetry_space_group_name_Hall 'P 1'
loop_
_atom_site_label
_atom_site_fract_x
_atom_site_fract_y
_atom_site_fract_z
Sr1 0.000 0.000 0.000
La1 0.667 0.333 0.551
Os1 0.333 0.667 0.703
```

***

## two
Entry from Alexandria via LeMat-Bulk: a relaxed SrLaOs crystal (PBE-GGA).

Structure (CIF):
```
data_SrLaOs
_cell_length_a 3.581
_cell_length_b 3.581
_cell_length_c 14.501
_cell_angle_alpha 90.00
_cell_angle_beta 90.00
_cell_angle_gamma 90.00
_symmetry_space_group_name_H-M 'P 1'
_symmetry_Int_Tables_number 1
_symmetry_space_group_name_Hall 'P 1'
loop_
_atom_site_label
_atom_site_fract_x
_atom_site_fract_y
_atom_site_fract_z
Sr1 0.000 0.000 0.000
Sr2 0.500 0.500 0.500
La1 0.000 0.000 0.761
La2 0.500 0.500 0.261
Os1 0.000 0.000 0.366
Os2 0.500 0.500 0.866
```

***

Preferred: two; penalty for the next structure: 92 meV/atom.

***

## one
Entry from Alexandria via LeMat-Bulk: a relaxed SrLa2TlOs crystal (PBE-GGA).

Structure (CIF):
```
data_SrLa2TlOs
_cell_length_a 5.499
_cell_length_b 5.499
_cell_length_c 5.965
_cell_angle_alpha 90.00
_cell_angle_beta 90.00
_cell_angle_gamma 90.00
_symmetry_space_group_name_H-M 'P 1'
_symmetry_Int_Tables_number 1
_symmetry_space_group_name_Hall 'P 1'
loop_
_atom_site_label
_atom_site_fract_x
_atom_site_fract_y
_atom_site_fract_z
Sr1 0.000 0.000 0.000
La1 0.000 0.500 0.500
La2 0.500 0.000 0.500
Tl1 0.500 0.500 0.000
Os1 0.000 0.000 0.500
```

***

## two
Entry from Alexandria via LeMat-Bulk: a relaxed SrLa2TlOs crystal (PBE-GGA).

Structure (CIF):
```
data_SrLa2TlOs
_cell_length_a 5.575
_cell_length_b 5.575
_cell_length_c 5.540
_cell_angle_alpha 90.00
_cell_angle_beta 90.00
_cell_angle_gamma 90.00
_symmetry_space_group_name_H-M 'P 1'
_symmetry_Int_Tables_number 1
_symmetry_space_group_name_Hall 'P 1'
loop_
_atom_site_label
_atom_site_fract_x
_atom_site_fract_y
_atom_site_fract_z
Sr1 0.000 0.000 0.000
La1 0.000 0.500 0.500
La2 0.500 0.000 0.500
Tl1 0.500 0.500 0.000
Os1 0.500 0.500 0.500
```

***

Preferred: one; penalty for the next structure: 16 meV/atom.

***

## one
Entry from Alexandria via LeMat-Bulk: a relaxed LaTa3Os crystal (PBE-GGA).

Structure (CIF):
```
data_LaTa3Os
_cell_length_a 4.792
_cell_length_b 4.792
_cell_length_c 4.792
_cell_angle_alpha 90.00
_cell_angle_beta 90.00
_cell_angle_gamma 90.00
_symmetry_space_group_name_H-M 'P 1'
_symmetry_Int_Tables_number 1
_symmetry_space_group_name_Hall 'P 1'
loop_
_atom_site_label
_atom_site_fract_x
_atom_site_fract_y
_atom_site_fract_z
La1 0.000 0.000 0.000
Ta1 0.000 0.000 0.500
Ta2 0.000 0.500 0.000
Ta3 0.500 0.000 0.000
Os1 0.500 0.500 0.500
```

***

## two
Entry from Alexandria via LeMat-Bulk: a relaxed LaTa3Os crystal (PBE-GGA).

Structure (CIF):
```
data_LaTa3Os
_cell_length_a 4.958
_cell_length_b 4.958
_cell_length_c 4.958
_cell_angle_alpha 90.00
_cell_angle_beta 90.00
_cell_angle_gamma 90.00
_symmetry_space_group_name_H-M 'P 1'
_symmetry_Int_Tables_number 1
_symmetry_space_group_name_Hall 'P 1'
loop_
_atom_site_label
_atom_site_fract_x
_atom_site_fract_y
_atom_site_fract_z
La1 0.000 0.000 0.000
Ta1 0.000 0.500 0.500
Ta2 0.500 0.000 0.500
Ta3 0.500 0.500 0.000
Os1 0.500 0.500 0.500
```

***

Preferred: two; penalty for the next structure: 1928 meV/atom.

***

## one
Entry from Alexandria via LeMat-Bulk: a relaxed LaTaOs crystal (PBE-GGA).

Structure (CIF):
```
data_LaTaOs
_cell_length_a 10.551
_cell_length_b 3.216
_cell_length_c 7.665
_cell_angle_alpha 90.00
_cell_angle_beta 107.83
_cell_angle_gamma 90.00
_symmetry_space_group_name_H-M 'P 1'
_symmetry_Int_Tables_number 1
_symmetry_space_group_name_Hall 'P 1'
loop_
_atom_site_label
_atom_site_fract_x
_atom_site_fract_y
_atom_site_fract_z
La1 0.150 0.000 0.083
La2 0.350 0.500 0.917
La3 0.650 0.500 0.083
La4 0.850 0.000 0.917
Ta1 0.156 0.000 0.560
Ta2 0.344 0.500 0.440
Ta3 0.656 0.500 0.560
Ta4 0.844 0.000 0.440
Os1 0.000 0.500 0.304
Os2 0.000 0.500 0.696
Os3 0.500 0.000 0.304
Os4 0.500 0.000 0.696
```

***

## two
Entry from Alexandria via LeMat-Bulk: a relaxed LaTaOs crystal (PBE-GGA).

Structure (CIF):
```
data_LaTaOs
_cell_length_a 5.061
_cell_length_b 4.561
_cell_length_c 6.212
_cell_angle_alpha 90.00
_cell_angle_beta 99.14
_cell_angle_gamma 90.00
_symmetry_space_group_name_H-M 'P 1'
_symmetry_Int_Tables_number 1
_symmetry_space_group_name_Hall 'P 1'
loop_
_atom_site_label
_atom_site_fract_x
_atom_site_fract_y
_atom_site_fract_z
La1 0.245 0.250 0.397
La2 0.755 0.750 0.603
Ta1 0.321 0.750 0.965
Ta2 0.679 0.250 0.035
Os1 0.096 0.250 0.849
Os2 0.904 0.750 0.151
```

***

Preferred: two; penalty for the next structure: 21 meV/atom.